# SmHo3Bi4

A relaxed structure of SmHo3Bi4 (PBE-GGA, the Alexandria database).

Summary:
formation energy from the elements = -0.859 eV per atom
relative energy among the computed polymorphs = 0.000 eV per formula unit

Cell: 6.3406 6.3406 6.3406 Å, 90.00 90.00 90.00°
Last column: nearest neighbours and their distance in Å.
Fractional coordinates of all 8 atoms:
Ho 0.5000 0.0000 0.5000  6 Bi 3.17
Ho 0.0000 0.5000 0.5000  6 Bi 3.17
Ho 0.5000 0.5000 0.0000  6 Bi 3.17
Bi 0.0000 0.5000 0.0000  4 Ho 3.17, 2 Sm 3.17
Bi 0.0000 0.0000 0.5000  4 Ho 3.17, 2 Sm 3.17
Bi 0.5000 0.5000 0.5000  6 Ho 3.17
Bi 0.5000 0.0000 0.0000  4 Ho 3.17, 2 Sm 3.17
Sm 0.0000 0.0000 0.0000  6 Bi 3.17